No. 1
TcHgP2Cl: optimized geometry, PBE.

Values from the calculation:
Symmetry ... No. 123
E_tot ... -3.14 eV/atom
ΔE to the lowest computed polymorph ... 123.86 kJ/mol of atoms
Crystal system ... tetragonal
Formation energy without anion corrections ... 1.526 eV per atom

a = 4.9578 Å, b = 4.9578 Å, c = 5.2612 Å
α = 90.00°, β = 90.00°, γ = 90.00°
With the nearest neighbours (Å) after each atom.
Atoms (fractional coordinates):
Tc 0.0000 0.0000 0.0000  4 Cl 3.51, 8 P 3.61
Hg 0.5000 0.5000 0.5000  4 P 2.48, 2 Cl 2.63
P 0.0000 0.5000 0.5000  2 Hg 2.48
P 0.5000 0.0000 0.5000  2 Hg 2.48
Cl 0.5000 0.5000 0.0000  2 Hg 2.63

No. 2
ZrCuRu2: optimized geometry, PBE.

Values from the calculation:
Symmetry ... No. 65
E_tot ... -7.61 eV/atom
Crystal system ... orthorhombic
Energy of formation ... 73 kJ/mol of formula units

a = 3.2757 Å, b = 4.6540 Å, c = 8.2155 Å
α = 90.00°, β = 90.00°, γ = 90.00°
With the nearest neighbours (Å) after each atom.
Atoms (fractional coordinates):
Zr 0.0000 0.0000 0.0000  4 Ru 2.68, 4 Zr 2.85
Zr 0.5000 0.5000 0.0000  4 Ru 2.68, 4 Zr 2.85
Cu 0.0000 0.0000 0.5000  4 Ru 2.57, 4 Cu 2.85
Cu 0.5000 0.5000 0.5000  4 Ru 2.57, 4 Cu 2.85
Ru 0.0000 0.5000 0.2587  2 Cu 2.57, 2 Zr 2.68, 4 Ru 2.85
Ru 0.0000 0.5000 0.7413  2 Cu 2.57, 2 Zr 2.68, 4 Ru 2.85
Ru 0.5000 0.0000 0.2587  2 Cu 2.57, 2 Zr 2.68, 4 Ru 2.85
Ru 0.5000 0.0000 0.7413  2 Cu 2.57, 2 Zr 2.68, 4 Ru 2.85

No. 3
MnWSeBr2: optimized geometry, PBE.

Values from the calculation:
Symmetry ... No. 123
E_tot ... -5.19 eV/atom
ΔE to the lowest computed polymorph ... 0.00 kJ/mol of atoms
Crystal system ... tetragonal
Formation energy without anion corrections ... 0.604 eV per atom

a = 5.2810 Å, b = 5.2810 Å, c = 4.8648 Å
α = 90.00°, β = 90.00°, γ = 90.00°
With the nearest neighbours (Å) after each atom.
Atoms (fractional coordinates):
Mn 0.0000 0.0000 0.0000  8 Br 3.59, 4 Se 3.73
W 0.5000 0.5000 0.5000  2 Se 2.43, 4 Br 2.64
Se 0.5000 0.5000 0.0000  2 W 2.43
Br 0.0000 0.5000 0.5000  2 W 2.64
Br 0.5000 0.0000 0.5000  2 W 2.64

No. 4
LiNd6Ag5: optimized geometry, PBE.

Values from the calculation:
Symmetry ... No. 10
E_tot ... -3.93 eV/atom
Crystal system ... monoclinic
Energy of formation ... -229 kJ/mol of formula units

a = 5.3335 Å, b = 7.4615 Å, c = 8.4439 Å
α = 90.00°, β = 108.04°, γ = 90.00°
With the nearest neighbours (Å) after each atom.
Atoms (fractional coordinates):
Li 0.0000 0.0000 0.0000  8 Nd 3.28-3.30, 2 Ag 3.65
Nd 0.1694 0.2506 0.3382  7 Ag 3.22-3.36, 1 Li 3.30
Nd 0.1694 0.7494 0.3382  7 Ag 3.22-3.36, 1 Li 3.30
Nd 0.5000 0.2564 0.0000  6 Ag 3.16-3.24, 2 Li 3.28
Nd 0.5000 0.7436 0.0000  6 Ag 3.16-3.24, 2 Li 3.28
Nd 0.8306 0.2506 0.6618  7 Ag 3.22-3.36, 1 Li 3.30
Nd 0.8306 0.7494 0.6618  7 Ag 3.22-3.36, 1 Li 3.30
Ag 0.0000 0.5000 0.0000  8 Nd 3.23-3.29
Ag 0.3321 0.5000 0.6656  8 Nd 3.22-3.25
Ag 0.3420 0.0000 0.6863  8 Nd 3.16-3.36
Ag 0.6580 0.0000 0.3137  8 Nd 3.16-3.36
Ag 0.6679 0.5000 0.3344  8 Nd 3.22-3.25

No. 5
Fe2CoAu: optimized geometry, PBE.

Values from the calculation:
Symmetry ... No. 166
E_tot ... -6.61 eV/atom
ΔE to the lowest computed polymorph ... 13.12 kJ/mol of atoms
Crystal system ... trigonal
Energy of formation ... 86 kJ/mol of formula units

a = 2.6867 Å, b = 2.6867 Å, c = 25.7870 Å
α = 90.00°, β = 90.00°, γ = 120.00°
With the nearest neighbours (Å) after each atom.
Atoms (fractional coordinates):
Fe 0.0000 0.0000 0.2423  3 Co 2.49, 6 Fe 2.69
Fe 0.0000 0.0000 0.7577  3 Co 2.49, 6 Fe 2.69
Fe 0.3333 0.6667 0.4244  3 Co 2.49, 6 Fe 2.69
Fe 0.3333 0.6667 0.9089  3 Co 2.49, 6 Fe 2.69
Fe 0.6667 0.3333 0.0911  3 Co 2.49, 6 Fe 2.69
Fe 0.6667 0.3333 0.5756  3 Co 2.49, 6 Fe 2.69
Co 0.0000 0.0000 0.5000  6 Fe 2.49, 6 Co 2.69
Co 0.3333 0.6667 0.1667  6 Fe 2.49, 6 Co 2.69
Co 0.6667 0.3333 0.8333  6 Fe 2.49, 6 Co 2.69
Au 0.0000 0.0000 0.0000  6 Au 2.69, 6 Fe 2.81
Au 0.3333 0.6667 0.6667  6 Au 2.69, 6 Fe 2.81
Au 0.6667 0.3333 0.3333  6 Au 2.69, 6 Fe 2.81

No. 6
Ti2HPtAu: optimized geometry, PBE.

Values from the calculation:
Symmetry ... No. 123
E_tot ... -6.14 eV/atom
ΔE to the lowest computed polymorph ... 3.87 kJ/mol of atoms
Crystal system ... tetragonal

a = 4.0032 Å, b = 4.0032 Å, c = 4.1582 Å
α = 90.00°, β = 90.00°, γ = 90.00°
With the nearest neighbours (Å) after each atom.
Atoms (fractional coordinates):
Ti 0.0000 0.5000 0.0000  2 H 2.00
Ti 0.5000 0.0000 0.0000  2 H 2.00
H 0.0000 0.0000 0.0000  4 Ti 2.00, 2 Au 2.08
Pt 0.5000 0.5000 0.5000  4 Au 2.83, 8 Ti 2.89
Au 0.0000 0.0000 0.5000  2 H 2.08